Entry 1:
Here is an optimized crystal structure of Fe5P from Alexandria via LeMat-Bulk. Energies are from PBE.

The value obtained for the density of states at the Fermi level is 6.8 states/eV per cell. The energy above the most stable polymorph in this dataset is 56.8 meV/atom. The value obtained for the energy relative to the elements is -0.06 eV/atom. The calculation puts the magnetization at 2.46 μB/f.u. The electronic total energy is -0.5887 Ry/atom.

a = 6.5389 Å, b = 6.5389 Å, c = 2.6151 Å
α = 90.00°, β = 90.00°, γ = 145.23°
Fractional coordinates of all 6 atoms:
Fe 0.0000 0.0000 0.0000
Fe 0.1886 0.8114 0.5000
Fe 0.3577 0.6423 0.0000
Fe 0.6423 0.3577 0.0000
Fe 0.8114 0.1886 0.5000
P 0.5000 0.5000 0.5000

Entry 2:
Here is an optimized crystal structure of P2PbW from Alexandria via LeMat-Bulk. Energies are from PBE.

The value obtained for the density of states at the Fermi level is 2.0 states/eV per cell. The value obtained for the energy relative to the elements is 0.21 eV/atom. The calculation puts the magnetization at 0.00 μB/f.u. The electronic total energy is -0.4892 Ry/atom.

a = 4.3021 Å, b = 4.3021 Å, c = 6.2665 Å
α = 95.95°, β = 95.95°, γ = 44.27°
Fractional coordinates of all 4 atoms:
P 0.2180 0.2180 0.1452
P 0.7820 0.7820 0.8548
Pb 0.0000 0.0000 0.5000
W 0.5000 0.5000 0.0000